Here is crystalline ThAlIr at its relaxed geometry from Alexandria via LeMat-Bulk. Energies are from PBE.

Cell lengths 4.4327, 4.4327, 3.8060 Å; angles 90.00, 90.00, 120.00 degrees
Space group P-6m2 (No. 187)
One atom of each set of equivalent atoms:
Th1 0.0000 0.0000 0.0000
Al1 0.3333 0.6667 0.5000
Ir1 0.6667 0.3333 0.5000

Properties
Its density of states at the Fermi level is 1.03 states/eV/atom. The formation energy comes out at -0.754 eV per atom.